(1)
Here is K2PmUS6 after structural relaxation from the Alexandria database. Energies are from PBE.

a b c (Å): 7.4336 7.4593 10.5579
angles (deg): 90.00 90.10 90.00
Fractional coordinates of all 20 atoms:
K (0.5035, 0.5176, 0.7502)
S (0.7122, 0.2654, 0.5193)
U (0.0000, 0.5000, 0.0000)
K (0.0035, 0.9824, 0.2502)
Pm (0.5000, 0.0000, 0.0000)
S (0.2878, 0.7346, 0.4807)
S (0.5363, 0.0055, 0.2609)
S (0.9637, 0.5055, 0.2391)
K (0.4965, 0.4824, 0.2498)
Pm (0.0000, 0.5000, 0.5000)
S (0.2122, 0.2346, 0.0193)
U (0.5000, 0.0000, 0.5000)
S (0.4637, 0.9945, 0.7391)
S (0.2347, 0.2126, 0.4817)
K (0.9965, 0.0176, 0.7498)
S (0.7878, 0.7654, 0.9807)
S (0.7653, 0.7874, 0.5183)
S (0.0363, 0.4945, 0.7609)
S (0.2653, 0.7126, 0.0183)
S (0.7347, 0.2874, 0.9817)

Values from the calculation:
- space group = P2_1/c
- formation energy (no corrections) (eV per atom) = -1.311

(2)
Here is VOs3 after structural relaxation from the Alexandria database. Energies are from PBE.

a b c (Å): 2.7605 4.3492 4.7015
angles (deg): 90.00 90.00 90.00
Fractional coordinates of all 4 atoms:
Os (0.5000, 0.5000, 0.8359)
Os (0.0000, 0.0000, 0.9989)
Os (0.5000, 0.0000, 0.4865)
V (0.0000, 0.5000, 0.3453)

Values from the calculation:
- space group = Pmm2

(3)
Here is Ca3ThPb4 after structural relaxation from the Alexandria database. Energies are from PBE.

a b c (Å): 3.6731 5.7894 11.4842
angles (deg): 90.00 90.00 90.00
Fractional coordinates of all 8 atoms:
Ca (0.5000, 0.5000, 0.5000)
Ca (0.5000, 0.0000, 0.2542)
Pb (0.0000, 0.0000, 0.5000)
Pb (0.0000, 0.5000, 0.2537)
Th (0.5000, 0.5000, 0.0000)
Pb (0.0000, 0.0000, 0.0000)
Ca (0.5000, 0.0000, 0.7458)
Pb (0.0000, 0.5000, 0.7463)

Values from the calculation:
- space group = Pmmm

(4)
Here is Mg3MnNi after structural relaxation from the Alexandria database. Energies are from PBE.

a b c (Å): 4.9239 4.9239 4.9239
angles (deg): 90.00 90.00 90.00
Fractional coordinates of all 5 atoms:
Mn (0.0000, 0.0000, 0.0000)
Mg (0.5000, 0.0000, 0.0000)
Ni (0.5000, 0.5000, 0.5000)
Mg (0.0000, 0.0000, 0.5000)
Mg (0.0000, 0.5000, 0.0000)

Values from the calculation:
- distance to the lowest polymorph of the same formula (eV per atom) = 0.640
- space group = Pm-3m

(5)
Here is NiOs2Pb after structural relaxation from the Alexandria database. Energies are from PBE.

a b c (Å): 4.7580 4.7580 2.9943
angles (deg): 90.00 90.00 109.86
Fractional coordinates of all 4 atoms:
Os (0.0000, 0.0000, 0.0000)
Pb (0.5000, 0.0000, 0.5000)
Ni (0.0000, 0.5000, 0.5000)
Os (0.5000, 0.5000, 0.0000)

Values from the calculation:
- space group = Cmmm

(6)
Here is ScTaZn2 after structural relaxation from the Alexandria database. Energies are from PBE.

a b c (Å): 2.9280 2.9280 7.9690
angles (deg): 90.00 90.00 89.98
Fractional coordinates of all 4 atoms:
Zn (0.0000, 0.0000, 0.5061)
Zn (0.0000, 0.0000, 0.9939)
Sc (0.5000, 0.5000, 0.2500)
Ta (0.5000, 0.5000, 0.7500)

Values from the calculation:
- distance to the lowest polymorph of the same formula (eV per atom) = 0.000
- space group = P4/mmm

| no. | E (eV/atom) |
| --- | --- |
| 1 | -5.61 |
| 2 | -10.80 |
| 3 | -3.96 |
| 4 | -2.89 |
| 5 | -7.02 |
| 6 | -5.31 |